## Tl4CdP (PBE-GGA)

Data for a relaxed structure of Tl4CdP.

The calculated density is 8734 kg/m3. For the total energy, the calculation gives -52.55 eV per cell. As for the total magnetization: 0.0 μB per cell.

The space group is F-43m (No. 216) and the conventional cell measures 9.007, 9.007 and 9.007 Å, with angles of 90.00, 90.00 and 90.00 degrees. The inequivalent atoms are Tl at (0.124, 0.124, 0.376), Cd at (0.000, 0.000, 0.000) and P at (0.250, 0.250, 0.750).